1.
# PBE CdIn6Pb8, optimized geometry
# Calculated volume (Å³ per atom): 29.90
# Total energy (eV per atom): -3.077
# N(E_F) (states/eV per atom): 0.552
# Calculated formation energy (eV per atom): 0.058
data_CdIn6Pb8
_cell_length_a 9.2117
_cell_length_b 9.2117
_cell_length_c 18.3066
_cell_angle_alpha 90.00
_cell_angle_beta 90.00
_cell_angle_gamma 120.00
_space_group_name_H-M_alt 'R -3'
_space_group_IT_number 148
_space_group_name_Hall '-R 3'
loop_
_atom_site_label
_atom_site_type_symbol
_atom_site_fract_x
_atom_site_fract_y
_atom_site_fract_z
_atom_site_occupancy
Cd1 Cd 0.0000 0.0000 0.0000 1
In1 In 0.0263 0.6398 0.3501 1
Pb1 Pb 0.0000 0.0000 0.4130 1
Pb2 Pb 0.0521 0.8122 0.1810 1

=====

2.
# PBE CdIn5Pb2, optimized geometry
# Calculated volume (Å³ per atom): 27.78
# Total energy (eV per atom): -2.727
# N(E_F) (states/eV per atom): 0.243
# Calculated formation energy (eV per atom): 0.026
data_CdIn5Pb2
_cell_length_a 7.112
_cell_length_b 14.221
_cell_length_c 4.394
_cell_angle_alpha 90.00
_cell_angle_beta 90.00
_cell_angle_gamma 90.00
_space_group_name_H-M_alt 'P b a m'
_space_group_IT_number 55
loop_
_space_group_symop_operation_xyz
'x,y,z'
'-x,-y,-z'
'-x,-y,z'
'x,y,-z'
'x+1/2,-y+1/2,-z'
'-x+1/2,y+1/2,z'
'-x+1/2,y+1/2,-z'
'x+1/2,-y+1/2,z'
loop_
_atom_site_label
_atom_site_type_symbol
_atom_site_fract_x
_atom_site_fract_y
_atom_site_fract_z
_atom_site_occupancy
Cd1 Cd 0.000 0.000 0.000 1
In1 In 0.000 0.500 0.000 1
In2 In 0.005 0.252 0.000 1
In3 In 0.249 0.124 0.500 1
Pb1 Pb 0.239 0.878 0.500 1

=====

3.
# PBE Cd5In3Pb2, optimized geometry
# Calculated volume (Å³ per atom): 26.39
# Total energy (eV per atom): -1.968
# N(E_F) (states/eV per atom): 0.393
# Calculated formation energy (eV per atom): 0.052
data_Cd5In3Pb2
_cell_length_a 11.354
_cell_length_b 15.428
_cell_length_c 6.038
_cell_angle_alpha 90.00
_cell_angle_beta 93.41
_cell_angle_gamma 90.00
_space_group_name_H-M_alt 'C 1 2/c 1'
_space_group_IT_number 15
loop_
_space_group_symop_operation_xyz
'x,y,z'
'-x,-y,-z'
'-x,y,-z+1/2'
'x,-y,z+1/2'
'x+1/2,y+1/2,z'
'-x+1/2,-y+1/2,-z'
'-x+1/2,y+1/2,-z+1/2'
'x+1/2,-y+1/2,z+1/2'
loop_
_atom_site_label
_atom_site_type_symbol
_atom_site_fract_x
_atom_site_fract_y
_atom_site_fract_z
_atom_site_occupancy
Cd1 Cd 0.000 0.039 0.250 1
Cd2 Cd 0.127 0.355 0.634 1
Cd3 Cd 0.246 0.038 0.006 1
In1 In 0.000 0.458 0.250 1
In2 In 0.127 0.148 0.624 1
Pb1 Pb 0.125 0.252 0.125 1

=====

4.
# PBE Cd5In3Pb3, optimized geometry
# Calculated volume (Å³ per atom): 29.65
# Total energy (eV per atom): -2.038
# N(E_F) (states/eV per atom): 0.369
# Calculated formation energy (eV per atom): 0.136
data_Cd5In3Pb3
_cell_length_a 10.7981
_cell_length_b 10.7981
_cell_length_c 3.2303
_cell_angle_alpha 90.00
_cell_angle_beta 90.00
_cell_angle_gamma 120.00
_space_group_name_H-M_alt 'P -6 2 m'
_space_group_IT_number 189
_space_group_name_Hall 'P -6 -2'
loop_
_atom_site_label
_atom_site_type_symbol
_atom_site_fract_x
_atom_site_fract_y
_atom_site_fract_z
_atom_site_occupancy
Cd1 Cd 0.0000 0.3186 0.0000 1
Cd2 Cd 0.3333 0.6667 0.0000 1
In1 In 0.0000 0.8302 0.0000 1
Pb1 Pb 0.0000 0.5679 0.5000 1

=====

5.
# PBE Cd3In7Pb2, optimized geometry
# Calculated volume (Å³ per atom): 27.12
# Total energy (eV per atom): -2.411
# N(E_F) (states/eV per atom): 0.363
# Calculated formation energy (eV per atom): 0.033
data_Cd3In7Pb2
_cell_length_a 5.816
_cell_length_b 3.319
_cell_length_c 16.912
_cell_angle_alpha 90.00
_cell_angle_beta 94.56
_cell_angle_gamma 90.00
_space_group_name_H-M_alt 'P 1 2/m 1'
_space_group_IT_number 10
loop_
_space_group_symop_operation_xyz
'x,y,z'
'-x,-y,-z'
'-x,y,-z'
'x,-y,z'
loop_
_atom_site_label
_atom_site_type_symbol
_atom_site_fract_x
_atom_site_fract_y
_atom_site_fract_z
_atom_site_occupancy
Cd1 Cd 0.000 0.000 0.000 1
Cd2 Cd 0.205 0.500 0.310 1
In1 In 0.137 0.500 0.842 1
In2 In 0.243 0.000 0.466 1
In3 In 0.369 0.000 0.162 1
In4 In 0.500 0.500 0.000 1
Pb1 Pb 0.288 0.000 0.659 1

=====

6.
# PBE Cd3In12Pb5, optimized geometry
# Calculated volume (Å³ per atom): 33.44
# Total energy (eV per atom): -2.518
# N(E_F) (states/eV per atom): 0.618
# Calculated formation energy (eV per atom): 0.190
data_Cd3In12Pb5
_cell_length_a 17.490
_cell_length_b 17.490
_cell_length_c 17.490
_cell_angle_alpha 90.00
_cell_angle_beta 90.00
_cell_angle_gamma 90.00
_space_group_name_H-M_alt 'I a -3 d'
_space_group_IT_number 230
_space_group_name_Hall '-I 4bd 2c 3'
loop_
_atom_site_label
_atom_site_type_symbol
_atom_site_fract_x
_atom_site_fract_y
_atom_site_fract_z
_atom_site_occupancy
Cd1 Cd 0.000 0.250 0.125 1
In1 In 0.019 0.087 0.651 1
Pb1 Pb 0.000 0.000 0.000 1
Pb2 Pb 0.000 0.250 0.375 1

=====

7.
# PBE CdIn4Pb4, optimized geometry
# Calculated volume (Å³ per atom): 29.00
# Total energy (eV per atom): -2.944
# N(E_F) (states/eV per atom): 0.408
# Calculated formation energy (eV per atom): 0.023
data_CdIn4Pb4
_cell_length_a 10.423
_cell_length_b 10.423
_cell_length_c 4.804
_cell_angle_alpha 90.00
_cell_angle_beta 90.00
_cell_angle_gamma 90.00
_space_group_name_H-M_alt 'I 4/m m m'
_space_group_IT_number 139
_space_group_name_Hall '-I 4 2'
loop_
_atom_site_label
_atom_site_type_symbol
_atom_site_fract_x
_atom_site_fract_y
_atom_site_fract_z
_atom_site_occupancy
Cd1 Cd 0.000 0.000 0.000 1
In1 In 0.000 0.336 0.000 1
Pb1 Pb 0.165 0.165 0.500 1

=====

8.
# PBE Cd4InPb4, optimized geometry
# Calculated volume (Å³ per atom): 27.60
# Total energy (eV per atom): -2.313
# N(E_F) (states/eV per atom): 0.428
# Calculated formation energy (eV per atom): 0.046
data_Cd4InPb4
_cell_length_a 10.431
_cell_length_b 10.431
_cell_length_c 4.566
_cell_angle_alpha 90.00
_cell_angle_beta 90.00
_cell_angle_gamma 90.00
_space_group_name_H-M_alt 'I 4/m m m'
_space_group_IT_number 139
_space_group_name_Hall '-I 4 2'
loop_
_atom_site_label
_atom_site_type_symbol
_atom_site_fract_x
_atom_site_fract_y
_atom_site_fract_z
_atom_site_occupancy
Cd1 Cd 0.000 0.347 0.000 1
In1 In 0.000 0.000 0.000 1
Pb1 Pb 0.167 0.167 0.500 1

=====

9.
# PBE CdIn2Pb3, optimized geometry
# Calculated volume (Å³ per atom): 28.88
# Total energy (eV per atom): -2.887
# N(E_F) (states/eV per atom): 0.337
# Relative energy among the computed polymorphs (eV/f.u.): 0.000
# Calculated formation energy (eV per atom): 0.032
data_CdIn2Pb3
_cell_length_a 8.075
_cell_length_b 3.559
_cell_length_c 12.059
_cell_angle_alpha 90.00
_cell_angle_beta 90.79
_cell_angle_gamma 90.00
_space_group_name_H-M_alt 'P 1 21/m 1'
_space_group_IT_number 11
loop_
_space_group_symop_operation_xyz
'x,y,z'
'-x,-y,-z'
'-x,y+1/2,-z'
'x,-y+1/2,z'
loop_
_atom_site_label
_atom_site_type_symbol
_atom_site_fract_x
_atom_site_fract_y
_atom_site_fract_z
_atom_site_occupancy
Cd1 Cd 0.169 0.250 0.259 1
In1 In 0.088 0.250 0.889 1
In2 In 0.361 0.750 0.437 1
Pb1 Pb 0.108 0.250 0.606 1
Pb2 Pb 0.337 0.750 0.055 1
Pb3 Pb 0.411 0.750 0.754 1

=====

10.
# PBE CdInPb2, optimized geometry
# Calculated volume (Å³ per atom): 28.64
# Total energy (eV per atom): -2.736
# N(E_F) (states/eV per atom): 0.376
# Relative energy among the computed polymorphs (eV/f.u.): 0.011
# Calculated formation energy (eV per atom): 0.031
data_CdInPb2
_cell_length_a 3.386
_cell_length_b 5.079
_cell_length_c 6.711
_cell_angle_alpha 90.00
_cell_angle_beta 96.98
_cell_angle_gamma 90.00
_space_group_name_H-M_alt 'P 1 m 1'
_space_group_IT_number 6
loop_
_space_group_symop_operation_xyz
'x,y,z'
'x,-y,z'
loop_
_atom_site_label
_atom_site_type_symbol
_atom_site_fract_x
_atom_site_fract_y
_atom_site_fract_z
_atom_site_occupancy
Cd1 Cd 0.000 0.000 0.000 1
In1 In 0.345 0.500 0.250 1
Pb1 Pb 0.449 0.500 0.772 1
Pb2 Pb 0.909 0.000 0.489 1

=====

11.
# PBE CdIn6Pb5, optimized geometry
# Calculated volume (Å³ per atom): 28.92
# Total energy (eV per atom): -2.962
# N(E_F) (states/eV per atom): 0.485
# Calculated formation energy (eV per atom): 0.028
data_CdIn6Pb5
_cell_length_a 11.129
_cell_length_b 13.758
_cell_length_c 4.972
_cell_angle_alpha 90.00
_cell_angle_beta 114.25
_cell_angle_gamma 90.00
_space_group_name_H-M_alt 'C 1 2/m 1'
_space_group_IT_number 12
loop_
_space_group_symop_operation_xyz
'x,y,z'
'-x,-y,-z'
'-x,y,-z'
'x,-y,z'
'x+1/2,y+1/2,z'
'-x+1/2,-y+1/2,-z'
'-x+1/2,y+1/2,-z'
'x+1/2,-y+1/2,z'
loop_
_atom_site_label
_atom_site_type_symbol
_atom_site_fract_x
_atom_site_fract_y
_atom_site_fract_z
_atom_site_occupancy
Cd1 Cd 0.000 0.000 0.000 1
In1 In 0.246 0.500 0.241 1
In2 In 0.248 0.164 0.248 1
Pb1 Pb 0.000 0.155 0.500 1
Pb2 Pb 0.000 0.328 0.000 1
Pb3 Pb 0.000 0.500 0.500 1

=====

12.
# PBE CdIn2Pb, optimized geometry
# Calculated volume (Å³ per atom): 27.37
# Total energy (eV per atom): -2.501
# N(E_F) (states/eV per atom): 0.274
# Calculated formation energy (eV per atom): 0.024
data_CdIn2Pb
_cell_length_a 10.813
_cell_length_b 3.461
_cell_length_c 5.980
_cell_angle_alpha 90.00
_cell_angle_beta 101.89
_cell_angle_gamma 90.00
_space_group_name_H-M_alt 'C 1 2/m 1'
_space_group_IT_number 12
loop_
_space_group_symop_operation_xyz
'x,y,z'
'-x,-y,-z'
'-x,y,-z'
'x,-y,z'
'x+1/2,y+1/2,z'
'-x+1/2,-y+1/2,-z'
'-x+1/2,y+1/2,-z'
'x+1/2,-y+1/2,z'
loop_
_atom_site_label
_atom_site_type_symbol
_atom_site_fract_x
_atom_site_fract_y
_atom_site_fract_z
_atom_site_occupancy
Cd1 Cd 0.000 0.000 0.000 1
In1 In 0.244 0.500 0.239 1
Pb1 Pb 0.000 0.500 0.500 1

=====

The lowest calculated formation energy belongs to which entry? CdIn4Pb4